Compound: Dy12Tl6Cu
Source: Alexandria via LeMat-Bulk
Functional: PBE-GGA
Structure: relaxed

a b c (Å): 12.0023 12.0023 13.5561
angles (deg): 90.00 90.00 120.00
Space group R-3 (No. 148, hexagonal axes)
Asymmetric unit:
Dy: 0.0314 0.1866 0.3652 x18
Dy: 0.0406 0.8487 0.8941 x18
Tl: 0.0005 0.3990 0.2354 x18
Cu: 0.0000 0.0000 0.5000 x3

For the magnetic moment, the calculation gives 0.00 μB/cell. Its energy of formation is -3.02 kcal/mol of atoms. For the total DFT energy (no corrections), the calculation gives -4.001 eV per atom.

Compound: Sm12InIr6
Source: Alexandria via LeMat-Bulk
Functional: PBE-GGA
Structure: relaxed

a b c (Å): 10.164 10.164 10.164
angles (deg): 90.00 90.00 90.00
Space group Im-3 (No. 204)
Asymmetric unit:
Sm: 0.000 0.302 0.191 x24
In: 0.000 0.000 0.000 x2
Ir: 0.000 0.124 0.500 x12

For the magnetic moment, the calculation gives 0.00 μB/cell. Its energy of formation is -12.06 kcal/mol of atoms. For the total DFT energy (no corrections), the calculation gives -6.446 eV per atom.

Compound: K2CdCu
Source: Alexandria via LeMat-Bulk
Functional: PBE-GGA
Structure: relaxed

a b c (Å): 13.487 3.942 5.878
angles (deg): 90.00 115.75 90.00
Space group Cm (No. 8)
Asymmetric unit:
K: 0.000 0.000 0.000 x2
K: 0.196 0.000 0.695 x2
Cd: 0.295 0.500 0.294 x2
Cu: 0.443 0.000 0.443 x2

For the magnetic moment, the calculation gives 0.00 μB/cell. Its energy of formation is 3.51 kcal/mol of atoms. For the total DFT energy (no corrections), the calculation gives -1.649 eV per atom.

Compound: Mg3NF
Source: Alexandria via LeMat-Bulk
Functional: PBE-GGA
Structure: relaxed

a b c (Å): 4.262 4.262 4.262
angles (deg): 90.00 90.00 90.00
Space group Pm-3m (No. 221)
Asymmetric unit:
Mg: 0.000 0.000 0.500 x3
N: 0.000 0.000 0.000 x1
F: 0.500 0.500 0.500 x1

For the magnetic moment, the calculation gives 0.00 μB/cell. For the offset from the most stable computed form, the calculation gives 0 meV/atom. Its uncorrected formation energy is -0.7850 eV/atom. For the total DFT energy (no corrections), the calculation gives -3.781 eV per atom.

Compound: Na2MgSc2
Source: Alexandria via LeMat-Bulk
Functional: PBE-GGA
Structure: relaxed

a b c (Å): 9.227 9.227 3.340
angles (deg): 90.00 90.00 90.00
Space group P4/mbm (No. 127)
Asymmetric unit:
Na: 0.179 0.321 0.000 x4
Mg: 0.000 0.000 0.500 x2
Sc: 0.118 0.618 0.500 x4

For the magnetic moment, the calculation gives 2.35 μB/cell. Its energy of formation is 12.80 kcal/mol of atoms. For the offset from the most stable computed form, the calculation gives 130 meV/atom. For the total DFT energy (no corrections), the calculation gives -2.824 eV per atom.

Compound: DyEr5Tm4
Source: Alexandria via LeMat-Bulk
Functional: PBE-GGA
Structure: relaxed

a b c (Å): 10.030 10.030 6.234
angles (deg): 90.00 90.00 90.00
Space group I4 (No. 79)
Asymmetric unit:
Dy: 0.000 0.000 0.000 x2
Er: 0.000 0.000 0.458 x2
Er: 0.143 0.767 0.728 x8
Tm: 0.050 0.653 0.229 x8

For the magnetic moment, the calculation gives 0.00 μB/cell. Its energy of formation is 7.27 kcal/mol of atoms. For the offset from the most stable computed form, the calculation gives 258 meV/atom. For the total DFT energy (no corrections), the calculation gives -4.215 eV per atom.